(1)
# PBE CaLa2TmSb4, relaxed
data_CaLa2TmSb4
_chemical_formula_sum 'Ca1 La2 Tm1 Sb4'
_cell_length_a 7.7098
_cell_length_b 4.5585
_cell_length_c 7.9528
_cell_angle_alpha 90.00
_cell_angle_beta 109.79
_cell_angle_gamma 90.00
_symmetry_space_group_name_H-M 'P 1 2/m 1'
_symmetry_Int_Tables_number 10
_symmetry_space_group_name_Hall '-P 2y'
loop_
_atom_site_label
_atom_site_fract_x
_atom_site_fract_y
_atom_site_fract_z
_atom_site_occupancy
Ca1 0.0000 0.0000 0.0000 1
La1 0.5000 0.0000 0.5000 1
La2 0.5000 0.5000 0.0000 1
Tm1 0.0000 0.5000 0.5000 1
Sb1 0.2364 0.0000 0.7396 1
Sb2 0.2408 0.5000 0.2538 1
# DOS at the Fermi energy: 5.334 states/eV/cell
# M_tot: 0.00 μB per formula unit
# V: 32.9 Å³ per atom
# ΔE_f (raw): -1.073 eV per atom

(2)
# PBE Li2InSi2, relaxed
data_Li2InSi2
_chemical_formula_sum 'Li4 In2 Si4'
_cell_length_a 7.6556
_cell_length_b 7.6556
_cell_length_c 2.9228
_cell_angle_alpha 90.00
_cell_angle_beta 90.00
_cell_angle_gamma 90.00
_symmetry_space_group_name_H-M 'P 4/m b m'
_symmetry_Int_Tables_number 127
_symmetry_space_group_name_Hall '-P 4 2ab'
loop_
_atom_site_label
_atom_site_fract_x
_atom_site_fract_y
_atom_site_fract_z
_atom_site_occupancy
Li1 0.1882 0.3118 0.0000 1
In1 0.0000 0.0000 0.5000 1
Si1 0.1088 0.6088 0.5000 1
# relative energy among the computed polymorphs: 0.0 meV/atom
# DOS at the Fermi energy: 2.601 states/eV/cell
# M_tot: 0.00 μB per formula unit
# V: 17.1 Å³ per atom
# ΔE_f (raw): -0.062 eV per atom

(3)
# PBE SrZn2Ir, relaxed
data_SrZn2Ir
_chemical_formula_sum 'Sr2 Zn4 Ir2'
_cell_length_a 3.2903
_cell_length_b 5.0285
_cell_length_c 9.5084
_cell_angle_alpha 90.00
_cell_angle_beta 90.00
_cell_angle_gamma 90.00
_symmetry_space_group_name_H-M 'I m m 2'
_symmetry_Int_Tables_number 44
_symmetry_space_group_name_Hall 'I 2 -2'
loop_
_atom_site_label
_atom_site_fract_x
_atom_site_fract_y
_atom_site_fract_z
_atom_site_occupancy
Sr1 0.0000 0.0000 0.0000 1
Zn1 0.0000 0.0000 0.4780 1
Zn2 0.0000 0.5000 0.2101 1
Ir1 0.0000 0.5000 0.7738 1
# DOS at the Fermi energy: 4.084 states/eV/cell
# energy relative to the elements: 0.121 eV per atom
# M_tot: 0.00 μB per formula unit
# V: 19.7 Å³ per atom